Record 1
A geometry-optimized NbBF2 structure, computed with GGA-PBE.

Lattice parameters (Å, degrees): 5.5516 5.5516 5.5516 90.00 90.00 90.00
Space group Fm-3m (No. 225)
Symmetry-distinct sites (fractional):
Nb: 0.0000 0.0000 0.0000 [4 per cell]
B: 0.0000 0.0000 0.5000 [4 per cell]
F: 0.2500 0.2500 0.2500 [8 per cell]

Total moment ... 0.0 μB/f.u.
ΔE to the lowest computed polymorph ... 735 meV/atom
Energy ... -0.198 Ha/atom
DOS at the Fermi energy ... 0.640 states/eV per atom
Formation energy from raw total energies ... -0.255 eV/atom

Record 2
A geometry-optimized NbBF2 structure, computed with GGA-PBE.

Lattice parameters (Å, degrees): 2.9202 2.9202 25.9860 90.00 90.00 120.00
Space group R-3m (No. 166, hexagonal axes)
Symmetry-distinct sites (fractional):
Nb: 0.0000 0.0000 0.0000 [3 per cell]
B: 0.0000 0.0000 0.5000 [3 per cell]
F: 0.0000 0.0000 0.0743 [6 per cell]

Total moment ... 0.0 μB/f.u.
ΔE to the lowest computed polymorph ... 686 meV/atom
Energy ... -0.199 Ha/atom
DOS at the Fermi energy ... 0.772 states/eV per atom
Formation energy from raw total energies ... -0.304 eV/atom

Record 3
A geometry-optimized NbBF2 structure, computed with GGA-PBE.

Lattice parameters (Å, degrees): 3.4124 3.4124 15.0731 90.00 90.00 90.00
Space group I-42d (No. 122)
Symmetry-distinct sites (fractional):
Nb: 0.0000 0.0000 0.0000 [4 per cell]
B: 0.0000 0.0000 0.5000 [4 per cell]
F: 0.2228 0.2500 0.1250 [8 per cell]

Total moment ... 0.0 μB/f.u.
ΔE to the lowest computed polymorph ... 0 meV/atom
Energy ... -0.225 Ha/atom
DOS at the Fermi energy ... 0.392 states/eV per atom
Formation energy from raw total energies ... -0.990 eV/atom

Record 4
A geometry-optimized NbB2F structure, computed with GGA-PBE.

Lattice parameters (Å, degrees): 7.0034 7.0034 3.8679 90.00 90.00 90.00
Space group I-42d (No. 122)
Symmetry-distinct sites (fractional):
Nb: 0.0000 0.0000 0.0000 [4 per cell]
B: 0.2195 0.2500 0.1250 [8 per cell]
F: 0.0000 0.0000 0.5000 [4 per cell]

Total moment ... 0.0 μB/f.u.
ΔE to the lowest computed polymorph ... 0 meV/atom
Energy ... -0.228 Ha/atom
DOS at the Fermi energy ... 0.489 states/eV per atom
Formation energy from raw total energies ... 0.120 eV/atom

Record 5
A geometry-optimized NbB2F structure, computed with GGA-PBE.

Lattice parameters (Å, degrees): 5.6020 5.6020 5.6020 90.00 90.00 90.00
Space group Fm-3m (No. 225)
Symmetry-distinct sites (fractional):
Nb: 0.0000 0.0000 0.0000 [4 per cell]
B: 0.2500 0.2500 0.2500 [8 per cell]
F: 0.0000 0.0000 0.5000 [4 per cell]

Total moment ... 0.0 μB/f.u.
ΔE to the lowest computed polymorph ... 698 meV/atom
Energy ... -0.202 Ha/atom
DOS at the Fermi energy ... 0.521 states/eV per atom
Formation energy from raw total energies ... 0.818 eV/atom

Record 6
A geometry-optimized NbBOF2 structure, computed with GGA-PBE.

Lattice parameters (Å, degrees): 4.2391 4.2391 3.9590 90.00 90.00 90.00
Space group P4/mmm (No. 123)
Symmetry-distinct sites (fractional):
Nb: 0.0000 0.0000 0.0000 [1 per cell]
B: 0.5000 0.5000 0.5000 [1 per cell]
O: 0.0000 0.0000 0.5000 [1 per cell]
F: 0.0000 0.5000 0.0000 [2 per cell]

Total moment ... 2.0 μB/f.u.
ΔE to the lowest computed polymorph ... 15 meV/atom
Energy ... -0.222 Ha/atom
DOS at the Fermi energy ... 0.505 states/eV per atom
Formation energy from raw total energies ... -0.943 eV/atom

Record 7
A geometry-optimized NbBOF2 structure, computed with GGA-PBE.

Lattice parameters (Å, degrees): 4.5921 4.5921 2.6227 90.00 90.00 90.00
Space group P4/mmm (No. 123)
Symmetry-distinct sites (fractional):
Nb: 0.0000 0.0000 0.0000 [1 per cell]
B: 0.5000 0.5000 0.5000 [1 per cell]
O: 0.5000 0.5000 0.0000 [1 per cell]
F: 0.0000 0.5000 0.5000 [2 per cell]

Total moment ... 1.7 μB/f.u.
ΔE to the lowest computed polymorph ... 0 meV/atom
Energy ... -0.222 Ha/atom
DOS at the Fermi energy ... 0.485 states/eV per atom
Formation energy from raw total energies ... -0.958 eV/atom

Record 8
A geometry-optimized NbBO2F structure, computed with GGA-PBE.

Lattice parameters (Å, degrees): 3.9801 3.9801 4.2037 90.00 90.00 90.00
Space group P4/mmm (No. 123)
Symmetry-distinct sites (fractional):
Nb: 0.0000 0.0000 0.0000 [1 per cell]
B: 0.5000 0.5000 0.5000 [1 per cell]
O: 0.0000 0.5000 0.0000 [2 per cell]
F: 0.0000 0.0000 0.5000 [1 per cell]

Total moment ... 0.6 μB/f.u.
Energy ... -0.245 Ha/atom
DOS at the Fermi energy ... 0.503 states/eV per atom
Formation energy from raw total energies ... -0.964 eV/atom

Record 9
A geometry-optimized NbBO2F structure, computed with GGA-PBE.

Lattice parameters (Å, degrees): 3.3738 3.3738 3.9534 90.00 90.00 90.00
Space group P4/mmm (No. 123)
Symmetry-distinct sites (fractional):
Nb: 0.0000 0.0000 0.0000 [1 per cell]
B: 0.5000 0.5000 0.5000 [1 per cell]
O: 0.0000 0.5000 0.5000 [2 per cell]
F: 0.5000 0.5000 0.0000 [1 per cell]

Total moment ... 2.3 μB/f.u.
Energy ... -0.233 Ha/atom
DOS at the Fermi energy ... 0.677 states/eV per atom
Formation energy from raw total energies ... -0.634 eV/atom

Record 10
A geometry-optimized NbB2PF structure, computed with GGA-PBE.

Lattice parameters (Å, degrees): 3.8197 3.8197 3.9063 90.00 90.00 90.00
Space group P4/mmm (No. 123)
Symmetry-distinct sites (fractional):
Nb: 0.0000 0.0000 0.0000 [1 per cell]
B: 0.0000 0.5000 0.5000 [2 per cell]
P: 0.5000 0.5000 0.5000 [1 per cell]
F: 0.5000 0.5000 0.0000 [1 per cell]

Total moment ... 0.0 μB/f.u.
Energy ... -0.206 Ha/atom
DOS at the Fermi energy ... 0.543 states/eV per atom
Formation energy from raw total energies ... 0.545 eV/atom

Record 11
A geometry-optimized Rb2NbBF6 structure, computed with GGA-PBE.

Lattice parameters (Å, degrees): 6.1296 6.1296 10.1819 90.00 90.00 90.00
Space group I4/mmm (No. 139)
Symmetry-distinct sites (fractional):
Rb: 0.0000 0.5000 0.2500 [4 per cell]
Nb: 0.0000 0.0000 0.0000 [2 per cell]
B: 0.0000 0.0000 0.5000 [2 per cell]
F: 0.0000 0.0000 0.2008 [4 per cell]
F: 0.2367 0.2367 0.0000 [8 per cell]

Total moment ... 2.0 μB/f.u.
Energy ... -0.185 Ha/atom
DOS at the Fermi energy ... 0.768 states/eV per atom
Formation energy from raw total energies ... -2.030 eV/atom

Record 12
A geometry-optimized NbBS2F structure, computed with GGA-PBE.

Lattice parameters (Å, degrees): 3.9731 3.9731 4.4879 90.00 90.00 90.00
Space group P4/mmm (No. 123)
Symmetry-distinct sites (fractional):
Nb: 0.0000 0.0000 0.0000 [1 per cell]
B: 0.0000 0.0000 0.5000 [1 per cell]
S: 0.0000 0.5000 0.5000 [2 per cell]
F: 0.5000 0.5000 0.0000 [1 per cell]

Total moment ... 0.0 μB/f.u.
ΔE to the lowest computed polymorph ... 331 meV/atom
Energy ... -0.189 Ha/atom
DOS at the Fermi energy ... 0.910 states/eV per atom
Formation energy from raw total energies ... 0.242 eV/atom